# K2RbLaV2O8 GGA+U optimized geometry
# Raw total energy in eV/atom: -6.7918
data_K2RbLaV2O8
_symmetry_space_group_name_H-M 'P -3 m 1'
_symmetry_Int_Tables_number 164
_symmetry_space_group_name_Hall '-P 3 2"'
_cell_length_a 6.1736
_cell_length_b 6.1736
_cell_length_c 7.9405
_cell_angle_alpha 90.00
_cell_angle_beta 90.00
_cell_angle_gamma 120.00
loop_
_atom_site_label
_atom_site_fract_x
_atom_site_fract_y
_atom_site_fract_z
K1 0.3333 0.6667 0.2018
Rb1 0.0000 0.0000 0.5000
La1 0.0000 0.0000 0.0000
V1 0.3333 0.6667 0.7405
O1 0.1784 0.3568 0.8180
O2 0.3333 0.6667 0.5283